Record 1
VASP calculation (PBE+U) on a relaxed structure of AcMnGeO5.

Unit cell a=5.5391 b=5.5391 c=8.7589 alpha=97.84 beta=97.84 gamma=109.96
With the nearest neighbours (Å) after each atom.
Atoms (fractional coordinates):
Ac  0.0000  0.0000  0.0000  6 O 2.51-2.55
Ac  0.0000  0.0000  0.5000  6 O 2.51-2.55
Mn  0.3471  0.6529  0.7500  3 O 1.84-1.95
Mn  0.6529  0.3471  0.2500  3 O 1.84-1.95
Ge  0.3111  0.6889  0.2500  4 O 1.74-1.83
Ge  0.6889  0.3111  0.7500  4 O 1.74-1.83
O  0.0198  0.3526  0.7193  1 Ge 1.83, 1 Mn 1.95
O  0.1440  0.8560  0.7500  1 Mn 1.84
O  0.3232  0.4613  0.0956  1 Ge 1.74
O  0.3526  0.0198  0.2193  1 Ge 1.83, 1 Mn 1.95
O  0.4613  0.3232  0.5956  1 Ge 1.74
O  0.5387  0.6768  0.4044  1 Ge 1.74
O  0.6474  0.9802  0.7807  1 Ge 1.83, 1 Mn 1.95
O  0.6768  0.5387  0.9044  1 Ge 1.74
O  0.8560  0.1440  0.2500  1 Mn 1.84
O  0.9802  0.6474  0.2807  1 Ge 1.83, 1 Mn 1.95

Computed properties:
* final energy: -7.17 eV/atom
* magnetic moment: 7.96 μB/cell
* calculated volume: 15.3 A^3/atom


Record 2
VASP calculation (PBE+U) on a relaxed structure of AcMnGeO6.

Unit cell a=5.0750 b=5.0750 c=5.3940 alpha=90.00 beta=90.00 gamma=120.00
With the nearest neighbours (Å) after each atom.
Atoms (fractional coordinates):
Ac  0.0000  0.0000  0.0000  6 O 2.53
Mn  0.6667  0.3333  0.5000  6 O 1.92
Ge  0.3333  0.6667  0.5000  6 O 1.91
O  0.0010  0.3848  0.7016  1 Ge 1.91, 1 Mn 1.92
O  0.0010  0.6163  0.2984  1 Ge 1.91, 1 Mn 1.92
O  0.3837  0.3848  0.2984  1 Ge 1.91, 1 Mn 1.92
O  0.3837  0.9990  0.7016  1 Ge 1.91, 1 Mn 1.92
O  0.6152  0.6163  0.7016  1 Ge 1.91, 1 Mn 1.92
O  0.6152  0.9990  0.2984  1 Ge 1.91, 1 Mn 1.92

Computed properties:
* final energy: -7.05 eV/atom
* magnetic moment: 1.98 μB/cell
* calculated volume: 13.4 A^3/atom